# NaPuSnPd (PBE, optimized geometry)
data_NaPuSnPd
_chemical_formula_sum 'Na4 Pu4 Sn4 Pd4'
_cell_length_a 7.025
_cell_length_b 7.025
_cell_length_c 7.025
_cell_angle_alpha 90.00
_cell_angle_beta 90.00
_cell_angle_gamma 90.00
_space_group_name_H-M_alt 'F -4 3 m'
_space_group_IT_number 216
_space_group_name_Hall 'F -4 2 3'
loop_
_atom_site_label
_atom_site_type_symbol
_atom_site_fract_x
_atom_site_fract_y
_atom_site_fract_z
_atom_site_occupancy
Na1 Na 0.000 0.000 0.000 1
Pu1 Pu 0.250 0.250 0.250 1
Sn1 Sn 0.250 0.250 0.750 1
Pd1 Pd 0.000 0.000 0.500 1
# Crystal system: cubic
# Calculated density (Mg/m³): 9.4
# DFT total energy (eV/atom): -6.46
# E_form (kJ/mol of formula units): -94.0